# 1
MgIrSe2 | GGA-PBE | optimized geometry

Lattice parameters (Å, degrees): 4.6605 4.6605 4.6605 60.00 60.00 60.00
Closest atoms and distances in Å follow each position.
Fractional positions:
Mg1 0.0000 0.0000 0.0000  4 Se 2.85, 4 Ir 2.85
Ir1 0.7500 0.7500 0.7500  4 Se 2.85, 4 Mg 2.85
Se1 0.2500 0.2500 0.2500  4 Se 2.85, 4 Mg 2.85
Se2 0.5000 0.5000 0.5000  4 Se 2.85, 4 Ir 2.85

# 2
Rb2NbFeNi | GGA-PBE | optimized geometry

Lattice parameters (Å, degrees): 6.4169 6.4169 4.7056 90.00 90.00 90.00
Closest atoms and distances in Å follow each position.
Fractional positions:
Rb1 0.0000 0.5000 0.0000  2 Ni 3.21
Rb2 0.5000 0.0000 0.0000  2 Ni 3.21
Nb1 0.0000 0.0000 0.5000  2 Ni 2.35
Fe1 0.5000 0.5000 0.5000  8 Rb 3.98
Ni1 0.0000 0.0000 0.0000  2 Nb 2.35

# 3
TmGa4Pt2 | GGA-PBE | optimized geometry

Results
ΔE to the lowest computed polymorph ... 117 meV per atom

Lattice parameters (Å, degrees): 7.9079 7.9079 4.0936 90.00 90.00 90.00
Closest atoms and distances in Å follow each position.
Fractional positions:
Tm1 0.0000 0.0000 0.0000  6 Pt 3.15-3.19, 8 Ga 3.32
Tm2 0.5000 0.5000 0.5000  6 Pt 3.15-3.19, 8 Ga 3.32
Ga1 0.0811 0.3201 0.5000  3 Pt 2.50-2.61, 1 Ga 2.67
Ga2 0.1799 0.5811 0.0000  3 Pt 2.50-2.61, 1 Ga 2.67
Ga3 0.3201 0.0811 0.5000  3 Pt 2.50-2.61, 1 Ga 2.67
Ga4 0.4189 0.8201 0.0000  3 Pt 2.50-2.61, 1 Ga 2.67
Ga5 0.5811 0.1799 0.0000  3 Pt 2.50-2.61, 1 Ga 2.67
Ga6 0.6799 0.9189 0.5000  3 Pt 2.50-2.61, 1 Ga 2.67
Ga7 0.8201 0.4189 0.0000  3 Pt 2.50-2.61, 1 Ga 2.67
Ga8 0.9189 0.6799 0.5000  3 Pt 2.50-2.61, 1 Ga 2.67
Pt1 0.2186 0.7814 0.5000  6 Ga 2.50-2.61
Pt2 0.2814 0.2814 0.0000  6 Ga 2.50-2.61
Pt3 0.7186 0.7186 0.0000  6 Ga 2.50-2.61
Pt4 0.7814 0.2186 0.5000  6 Ga 2.50-2.61

# 4
YZrAl2 | GGA-PBE | optimized geometry

Results
ΔE to the lowest computed polymorph ... 0 meV per atom

Lattice parameters (Å, degrees): 3.2335 4.0773 6.4777 90.00 90.00 90.00
Closest atoms and distances in Å follow each position.
Fractional positions:
Y1 0.0000 0.0000 0.0000  8 Al 3.17, 2 Y 3.23, 2 Zr 3.24
Zr1 0.0000 0.0000 0.5000  8 Al 2.97, 2 Zr 3.23, 2 Y 3.24
Al1 0.5000 0.5000 0.2799  1 Al 2.85, 4 Zr 2.97, 4 Y 3.17
Al2 0.5000 0.5000 0.7201  1 Al 2.85, 4 Zr 2.97, 4 Y 3.17

# 5
SrHfPd2 | GGA-PBE | optimized geometry

Results
ΔE to the lowest computed polymorph ... 457 meV per atom

Lattice parameters (Å, degrees): 6.3796 6.3796 6.3796 106.44 106.44 115.71
Closest atoms and distances in Å follow each position.
Fractional positions:
Sr1 0.0000 0.0000 0.0000  4 Pd 3.11, 2 Hf 3.39
Sr2 0.7500 0.2500 0.5000  4 Pd 3.11, 2 Hf 3.39
Hf1 0.2500 0.7500 0.5000  4 Pd 2.59
Hf2 0.5000 0.5000 0.0000  4 Pd 2.59
Pd1 0.1758 0.6250 0.0508  2 Hf 2.59
Pd2 0.3750 0.4258 0.5508  2 Hf 2.59
Pd3 0.5742 0.1250 0.9492  2 Hf 2.59
Pd4 0.8750 0.8242 0.4492  2 Hf 2.59

# 6
LiV | GGA-PBE | optimized geometry

Results
ΔE to the lowest computed polymorph ... 1617 meV per atom

Lattice parameters (Å, degrees): 4.0600 4.0600 4.0600 60.00 60.00 60.00
Closest atoms and distances in Å follow each position.
Fractional positions:
Li1 0.0000 0.0000 0.0000  4 V 2.49
V1 0.7500 0.7500 0.7500  4 Li 2.49

# 7
NaBOs2 | GGA-PBE | optimized geometry

Lattice parameters (Å, degrees): 7.8853 7.8853 7.8853 145.25 145.25 49.96
Closest atoms and distances in Å follow each position.
Fractional positions:
Na1 0.0000 0.0000 0.0000  8 Os 3.02-3.35, 4 B 3.33
Na2 0.7500 0.2500 0.5000  8 Os 3.02-3.35, 4 B 3.33
B1 0.2500 0.7500 0.5000  4 Os 2.15
B2 0.5000 0.5000 0.0000  4 Os 2.15
Os1 0.3276 0.6250 0.2026  2 B 2.15, 2 Os 2.40
Os2 0.3750 0.5776 0.7026  2 B 2.15, 2 Os 2.40
Os3 0.4224 0.1250 0.7974  2 B 2.15, 2 Os 2.40
Os4 0.8750 0.6724 0.2974  2 B 2.15, 2 Os 2.40

# 8
PmAuCl4 | GGA-PBE | optimized geometry

Lattice parameters (Å, degrees): 9.9359 9.9359 7.1883 102.72 102.72 132.76
Closest atoms and distances in Å follow each position.
Fractional positions:
Pm1 0.0602 0.9398 0.7500  6 Cl 2.74-2.75
Pm2 0.9398 0.0602 0.2500  6 Cl 2.74-2.75
Au1 0.3305 0.6695 0.2500  2 Cl 2.30
Au2 0.6695 0.3305 0.7500  2 Cl 2.30
Cl1 0.0484 0.4055 0.2783  1 Au 2.30
Cl2 0.1875 0.2693 0.7024  2 Pm 2.74
Cl3 0.2693 0.1875 0.2024  2 Pm 2.74
Cl4 0.4055 0.0484 0.7783  1 Au 2.30
Cl5 0.5945 0.9516 0.2217  1 Au 2.30
Cl6 0.7307 0.8125 0.7976  2 Pm 2.74
Cl7 0.8125 0.7307 0.2976  2 Pm 2.74
Cl8 0.9516 0.5945 0.7217  1 Au 2.30

# 9
SrNd2 | GGA-PBE | optimized geometry

Results
ΔE to the lowest computed polymorph ... 104 meV per atom

Lattice parameters (Å, degrees): 7.0939 7.0939 7.0939 60.00 60.00 60.00
Closest atoms and distances in Å follow each position.
Fractional positions:
Sr1 0.1250 0.1250 0.1250  12 Nd 4.16, 4 Sr 4.34
Sr2 0.8750 0.8750 0.8750  12 Nd 4.16, 4 Sr 4.34
Nd1 0.0000 0.5000 0.5000  6 Nd 3.55
Nd2 0.5000 0.0000 0.5000  6 Nd 3.55
Nd3 0.5000 0.5000 0.0000  6 Nd 3.55
Nd4 0.5000 0.5000 0.5000  6 Nd 3.55

# 10
NaAcLaGd | GGA-PBE | optimized geometry

Lattice parameters (Å, degrees): 5.9492 5.9492 5.9492 60.00 60.00 60.00
Closest atoms and distances in Å follow each position.
Fractional positions:
Na1 0.0000 0.0000 0.0000  4 Ac 3.64, 4 La 3.64
Ac1 0.7500 0.7500 0.7500  4 Gd 3.64, 4 Na 3.64
La1 0.2500 0.2500 0.2500  4 Gd 3.64, 4 Na 3.64
Gd1 0.5000 0.5000 0.5000  4 Ac 3.64, 4 La 3.64

# 11
Na2LiH6Rh | GGA-PBE | optimized geometry

Lattice parameters (Å, degrees): 5.1476 5.1476 4.9325 90.00 90.00 120.00
Closest atoms and distances in Å follow each position.
Fractional positions:
Na1 0.3333 0.6667 0.1561  9 H 2.40-2.59
Na2 0.6667 0.3333 0.8439  9 H 2.40-2.59
Li1 0.0000 0.0000 0.5000  6 H 1.99
H1 0.1510 0.3019 0.7978  1 Rh 1.68
H2 0.1510 0.8490 0.7978  1 Rh 1.68
H3 0.3019 0.1510 0.2022  1 Rh 1.68
H4 0.6981 0.8490 0.7978  1 Rh 1.68
H5 0.8490 0.1510 0.2022  1 Rh 1.68
H6 0.8490 0.6981 0.2022  1 Rh 1.68
Rh1 0.0000 0.0000 0.0000  6 H 1.68

# 12
La2I4N | GGA-PBE | optimized geometry

Lattice parameters (Å, degrees): 14.0036 14.0036 3.5839 90.00 90.00 90.00
Closest atoms and distances in Å follow each position.
Fractional positions:
La1 0.0853 0.0853 0.0000  2 N 2.46
La2 0.4147 0.5853 0.5000  2 N 2.46
La3 0.5853 0.4147 0.5000  2 N 2.46
La4 0.9147 0.9147 0.0000  2 N 2.46
I1 0.0456 0.2773 0.5000  2 La 3.28, 2 I 3.58
I2 0.2227 0.5456 0.0000  2 La 3.28, 2 I 3.58
I3 0.2773 0.0456 0.5000  2 La 3.28, 2 I 3.58
I4 0.4544 0.7773 0.0000  2 La 3.28, 2 I 3.58
I5 0.5456 0.2227 0.0000  2 La 3.28, 2 I 3.58
I6 0.7227 0.9544 0.5000  2 La 3.28, 2 I 3.58
I7 0.7773 0.4544 0.0000  2 La 3.28, 2 I 3.58
I8 0.9544 0.7227 0.5000  2 La 3.28, 2 I 3.58
N1 0.0000 0.0000 0.5000  4 La 2.46
N2 0.5000 0.5000 0.0000  4 La 2.46

Number 1: raw total energy -4.0108 eV/atom, total moment 0.00 μB per cell. Number 2: raw total energy -3.6228 eV/atom, total moment 6.64 μB per cell. Number 3: raw total energy -4.7693 eV/atom, total moment 0.00 μB per cell. Number 4: raw total energy -6.0157 eV/atom, total moment 0.00 μB per cell. Number 5: raw total energy -5.6773 eV/atom, total moment 0.00 μB per cell. Number 6: raw total energy -3.5353 eV/atom, total moment 4.02 μB per cell. Number 7: raw total energy -6.4486 eV/atom, total moment 1.35 μB per cell. Number 8: raw total energy -4.1088 eV/atom, total moment 0.00 μB per cell. Number 9: raw total energy -3.5561 eV/atom, total moment 0.00 μB per cell. Number 10: raw total energy -5.8839 eV/atom, total moment 7.57 μB per cell. Number 11: raw total energy -3.5772 eV/atom, total moment 0.00 μB per cell. Number 12: raw total energy -4.6022 eV/atom, total moment 0.00 μB per cell.